## LiCa3Mo3O8 (PBE with a Hubbard U)

Data for an optimized crystal structure of LiCa3Mo3O8.

Properties
Space group: R-3m, No. 166
E_tot (eV/cell): -100.47
Magnetic moment (μB/cell): 9.00
Crystal system: trigonal

Cell lengths 6.4693, 6.4693, 6.4693 Å; angles 60.15, 60.15, 60.15 degrees
With the nearest neighbours (Å) after each atom.
Fractional coordinates of all 15 atoms:
Li 0.0000 0.0000 0.0000  6 O 2.19
Ca 0.0000 0.0000 0.5000  6 O 2.37-2.39
Ca 0.0000 0.5000 0.0000  6 O 2.37-2.39
Ca 0.5000 0.0000 0.0000  6 O 2.37-2.39
Mo 0.0000 0.5000 0.5000  6 O 2.20-2.22
Mo 0.5000 0.0000 0.5000  6 O 2.20-2.22
Mo 0.5000 0.5000 0.0000  6 O 2.20-2.22
O 0.2382 0.2382 0.7413  1 Li 2.19, 2 Mo 2.20, 2 Ca 2.39
O 0.2382 0.7413 0.2382  1 Li 2.19, 2 Mo 2.20, 2 Ca 2.39
O 0.2582 0.2582 0.2582  3 Mo 2.22, 3 Ca 2.37
O 0.2587 0.7618 0.7618  1 Li 2.19, 2 Mo 2.20, 2 Ca 2.39
O 0.7413 0.2382 0.2382  1 Li 2.19, 2 Mo 2.20, 2 Ca 2.39
O 0.7418 0.7418 0.7418  3 Mo 2.22, 3 Ca 2.37
O 0.7618 0.2587 0.7618  1 Li 2.19, 2 Mo 2.20, 2 Ca 2.39
O 0.7618 0.7618 0.2587  1 Li 2.19, 2 Mo 2.20, 2 Ca 2.39